Here is a relaxed structure of Li2YPIr from the Alexandria database. Energies are from PBE.

Values from the calculation:
Its energy relative to the elements is -306.7 meV per atom.

Lattice parameters (Å, degrees): 4.5435 4.5435 4.4507 90.00 90.00 90.00
Space group P4/mmm (No. 123)
Unique sites:
Li 0.0000 0.5000 0.0000 [2 per cell]
Y 0.0000 0.0000 0.5000 [1 per cell]
P 0.5000 0.5000 0.5000 [1 per cell]
Ir 0.5000 0.5000 0.0000 [1 per cell]